The following is a DFT calculation (PBE) of SmAlSi after structural relaxation.

Structure (extended XYZ):
```
3
Lattice="0.000 3.394 3.394 3.394 0.000 3.394 3.394 3.394 0.000" Properties=species:S:1:pos:R:3 pbc="T T T"
Sm 0.000 0.000 0.000
Al 5.092 5.092 5.092
Si 1.697 1.697 1.697
```

Properties
E = -4.452 eV per atom
calculated density = 4.36 g/cm³